The following is a DFT calculation (PBE-GGA) of crystalline Li2YMgAl2Au2 at its relaxed geometry.

Summary:
Uncorrected energy   -29.998 eV/cell
SG   No. 115
Theoretical density   6.78 g/cm3

abc: 4.5996 4.5996 6.6525
angles: 90.00 90.00 90.00
Element x y z (fractional)
1 Y 0.5000 0.5000 0.5000
2 Li 0.5000 0.0000 0.7767
3 Au 0.0000 0.5000 0.7687
4 Li 0.0000 0.5000 0.2233
5 Mg 0.0000 0.0000 0.0000
6 Al 0.0000 0.0000 0.5000
7 Al 0.5000 0.5000 0.0000
8 Au 0.5000 0.0000 0.2313



The following is a DFT calculation (PBE-GGA) of crystalline Dy3HoCo8 at its relaxed geometry.

Summary:
SG   No. 160
Theoretical density   10.40 g/cm3
Energy of formation from the pure elements   -203 meV per atom

abc: 8.8156 8.8156 8.8156
angles: 32.85 32.85 32.85
Last column: magnetic moment on the atom in μB.
Element x y z (fractional)
1 Ho 0.1246 0.1246 0.1246  -0.34
2 Co 0.0627 0.5626 0.5626  1.06
3 Co 0.3126 0.3126 0.3126  1.02
4 Co 0.8124 0.8124 0.8124  1.02
5 Dy 0.0004 0.0004 0.0004  -0.33
6 Co 0.5626 0.0627 0.5626  1.22
7 Co 0.5626 0.5626 0.0627  1.09
8 Dy 0.5003 0.5003 0.5003  -0.32
9 Co 0.0625 0.5621 0.0625  1.22
10 Co 0.0625 0.0625 0.5621  1.09
11 Dy 0.6246 0.6246 0.6246  -0.33
12 Co 0.5621 0.0625 0.0625  1.07



The following is a DFT calculation (PBE-GGA) of crystalline NaNbCuSeS2 at its relaxed geometry.

Summary:
Uncorrected energy   -63.160 eV/cell
SG   No. 63
Theoretical density   4.58 g/cm3

abc: 7.0592 7.0592 9.6969
angles: 90.00 90.00 151.05
Last column: magnetic moment on the atom in μB.
Element x y z (fractional)
1 Na 0.7662 0.2338 0.7500  0.00
2 Nb 0.0000 0.0000 0.0000  0.29
3 Se 0.0881 0.9119 0.7500  0.00
4 S 0.6260 0.3740 0.4424  -0.01
5 Nb 0.0000 0.0000 0.5000  0.28
6 Se 0.9119 0.0881 0.2500  0.00
7 S 0.3740 0.6260 0.5576  -0.01
8 Cu 0.5349 0.4651 0.2500  0.01
9 S 0.6260 0.3740 0.0576  -0.01
10 S 0.3740 0.6260 0.9424  -0.01
11 Cu 0.4651 0.5349 0.7500  0.01
12 Na 0.2338 0.7662 0.2500  0.00



The following is a DFT calculation (PBE-GGA) of crystalline LaAgNO at its relaxed geometry.

Summary:
SG   No. 129
Theoretical density   7.40 g/cm3
Energy above the most stable polymorph in this dataset   73 meV/atom

abc: 5.1666 5.1666 4.6503
angles: 90.00 90.00 90.00
Element x y z (fractional)
1 N 0.7500 0.7500 0.4988
2 O 0.7500 0.2500 0.0000
3 Ag 0.2500 0.2500 0.0008
4 Ag 0.7500 0.7500 0.9992
5 La 0.2500 0.7500 0.5000
6 O 0.2500 0.7500 0.0000
7 N 0.2500 0.2500 0.5012
8 La 0.7500 0.2500 0.5000



The following is a DFT calculation (PBE-GGA) of crystalline Sm2C2S at its relaxed geometry.

Summary:
Uncorrected energy   -129.477 eV/cell
SG   No. 62
Theoretical density   6.63 g/cm3

abc: 7.1976 5.0030 9.9308
angles: 90.00 90.00 90.00
Element x y z (fractional)
1 C 0.1370 0.2500 0.0833
2 C 0.8800 0.7500 0.2238
3 S 0.7376 0.7500 0.0716
4 C 0.8630 0.7500 0.9167
5 Sm 0.5307 0.7500 0.7905
6 C 0.1200 0.2500 0.7762
7 Sm 0.0307 0.7500 0.7095
8 Sm 0.9693 0.2500 0.2905
9 S 0.2624 0.2500 0.9284
10 C 0.6200 0.2500 0.7238
11 C 0.3630 0.7500 0.5833
12 Sm 0.4693 0.2500 0.2095
13 S 0.7624 0.2500 0.5716
14 Sm 0.1561 0.7500 0.0744
15 S 0.2376 0.7500 0.4284
16 Sm 0.6561 0.7500 0.4256
17 Sm 0.3439 0.2500 0.5744
18 C 0.3800 0.7500 0.2762
19 C 0.6370 0.2500 0.4167
20 Sm 0.8439 0.2500 0.9256



The following is a DFT calculation (PBE-GGA) of crystalline ThNbFe at its relaxed geometry.

Summary:
SG   No. 216
Theoretical density   10.13 g/cm3
Energy above the most stable polymorph in this dataset   757 meV/atom
Energy of formation from the pure elements   1150 meV per atom

abc: 4.4530 4.4530 4.4530
angles: 60.00 60.00 60.00
Element x y z (fractional)
1 Fe 0.5000 0.5000 0.5000
2 Th 0.2500 0.2500 0.2500
3 Nb 0.0000 0.0000 0.0000



The following is a DFT calculation (PBE-GGA) of crystalline BaNaTc at its relaxed geometry.

Summary:
SG   No. 216
Theoretical density   4.23 g/cm3
Energy above the most stable polymorph in this dataset   0 meV/atom

abc: 5.2358 5.2358 5.2358
angles: 60.00 60.00 60.00
Last column: magnetic moment on the atom in μB.
Element x y z (fractional)
1 Ba 0.2500 0.2500 0.2500  -0.04
2 Tc 0.0000 0.0000 0.0000  2.22
3 Na 0.7500 0.7500 0.7500  -0.03



The following is a DFT calculation (PBE-GGA) of crystalline MgTlIrPb at its relaxed geometry.

Summary:
SG   No. 216
Theoretical density   12.49 g/cm3
Energy above the most stable polymorph in this dataset   0 meV/atom

abc: 4.9062 4.9062 4.9062
angles: 60.00 60.00 60.00
Element x y z (fractional)
1 Mg 0.7500 0.7500 0.7500
2 Pb 0.5000 0.5000 0.5000
3 Tl 0.0000 0.0000 0.0000
4 Ir 0.2500 0.2500 0.2500



The following is a DFT calculation (PBE-GGA) of crystalline AlPdPt at its relaxed geometry.

Summary:
SG   No. 216
Theoretical density   10.08 g/cm3
Energy above the most stable polymorph in this dataset   370 meV/atom

abc: 4.2452 4.2452 4.2452
angles: 60.00 60.00 60.00
Element x y z (fractional)
1 Pd 0.7500 0.7500 0.7500
2 Pt 0.0000 0.0000 0.0000
3 Al 0.2500 0.2500 0.2500



The following is a DFT calculation (PBE-GGA) of crystalline InCoHgMo at its relaxed geometry.

Summary:
SG   No. 216
Theoretical density   11.36 g/cm3
Energy above the most stable polymorph in this dataset   0 meV/atom

abc: 4.5978 4.5978 4.5978
angles: 60.00 60.00 60.00
Element x y z (fractional)
1 Hg 0.5000 0.5000 0.5000
2 Co 0.7500 0.7500 0.7500
3 Mo 0.2500 0.2500 0.2500
4 In 0.0000 0.0000 0.0000



The following is a DFT calculation (PBE-GGA) of crystalline ThCdCo at its relaxed geometry.

Summary:
SG   No. 216
Theoretical density   9.67 g/cm3
Energy of formation from the pure elements   -32 meV per atom

abc: 4.6091 4.6091 4.6091
angles: 60.00 60.00 60.00
Element x y z (fractional)
1 Co 0.0000 0.0000 0.0000
2 Cd 0.2500 0.2500 0.2500
3 Th 0.7500 0.7500 0.7500



The following is a DFT calculation (PBE-GGA) of crystalline ZrCdCuB at its relaxed geometry.

Summary:
SG   No. 216
Theoretical density   7.32 g/cm3
Energy above the most stable polymorph in this dataset   266 meV/atom

abc: 4.4685 4.4685 4.4685
angles: 60.00 60.00 60.00
Element x y z (fractional)
1 B 0.0000 0.0000 0.0000
2 Cd 0.2500 0.2500 0.2500
3 Cu 0.7500 0.7500 0.7500
4 Zr 0.5000 0.5000 0.5000



Question: Which of these has the highest theoretical density?
Answer: MgTlIrPb



Question: Look up the theoretical density of the first one.
Answer: 6.78 g/cm3



Question: theoretical density of number 6 (ThNbFe)?
Answer: 10.13 g/cm3